[1]
8
Lattice="4.5068 0.0000 1.3304 2.0571 4.0100 1.3304 -0.1700 -0.1039 8.8749" Properties=species:S:1:pos:R:3 comment="PBE SmMg3Au4, relaxed" density_g_cm3=10.388 m_tot_mub_per_cell=0.00 total_energy_ev_per_cell=-27.913 spacegroup="R-3m (166)" pbc="T T T"
Mg 1.5431 0.9427 3.0714
Mg 4.8508 2.9634 8.4643
Mg 3.1969 1.9531 5.7678
Au 5.6664 3.4617 5.7010
Au 2.4291 1.4840 8.3690
Au 0.7275 0.4444 5.8346
Au 3.9648 2.4221 3.1667
Sm 0.0000 0.0000 0.0000

=====

[2]
16
Lattice="-3.0811 -1.8414 4.6811 -4.9985 -4.9068 -5.2202 7.2826 -3.3431 3.4784" Properties=species:S:1:pos:R:3 comment="PBE Sm3Mg2Au3, relaxed" density_g_cm3=9.291 m_tot_mub_per_cell=0.00 total_energy_ev_per_cell=-65.178 spacegroup="P6_3/mcm (193)" pbc="T T T"
Sm -3.6397 -2.6856 2.1229
Sm -0.6340 -7.4376 2.2321
Sm -0.3747 -2.2698 4.4356
Sm -4.4398 -4.0626 -2.6621
Sm -0.1630 -2.6537 0.7072
Sm 4.5761 -2.9146 3.7239
Mg 3.1889 -3.8643 0.5789
Mg -2.4453 -5.3062 0.0199
Mg -0.9048 -4.3856 -2.3207
Mg 1.6484 -4.7850 2.9194
Au -5.3492 -4.3636 0.3377
Au -1.4151 -4.6162 2.8277
Au 2.1159 -3.4131 5.6251
Au -2.7304 -2.3845 -0.8768
Au 0.6181 -5.4750 0.1115
Au 2.0856 -1.7713 2.5343

=====

[3]
12
Lattice="-1.0694 -5.7697 0.9804 0.3733 -3.8975 -4.4793 8.9712 -4.5950 0.7951" Properties=species:S:1:pos:R:3 comment="PBE Sm3Mg7Au2, relaxed" density_g_cm3=5.783 m_tot_mub_per_cell=0.00 total_energy_ev_per_cell=-35.357 spacegroup="R-3m (166)" pbc="T T T"
Sm 0.0000 0.0000 0.0000
Sm 3.3263 -10.2671 -2.6416
Sm 4.9488 -3.9951 -0.0622
Mg 4.1375 -7.1311 -1.3519
Mg 1.2560 -8.0478 -0.7944
Mg 1.9830 -7.1045 -3.5454
Mg 1.7949 -5.1406 -1.2884
Mg 7.0190 -6.2144 -1.9094
Mg 6.4802 -9.1216 -1.4154
Mg 6.2921 -7.1577 0.8416
Au -0.4511 -6.4467 -2.3298
Au 8.7262 -7.8155 -0.3739

=====

[4]
6
Lattice="-0.8992 3.0599 3.1022 -1.2555 -3.2140 2.8087 6.7532 -0.5002 2.4614" Properties=species:S:1:pos:R:3 comment="PBE SmMgAu4, relaxed" density_g_cm3=11.206 m_tot_mub_per_cell=0.00 total_energy_ev_per_cell=-22.002 spacegroup="C2/m (12)" pbc="T T T"
Sm 5.6654 -0.5620 5.4078
Mg 2.1114 -3.4515 4.0321
Au 0.1886 -1.8085 5.0440
Au 3.1344 -2.0313 6.1184
Au 4.2112 -1.9511 3.1649
Au 1.2646 -1.7373 2.0910